The following is a DFT calculation (PBE) of CaY2Zn4 after structural relaxation.

Geometry as POSCAR:
```
CaY2Zn4
1.0
-4.3905 2.2978 0.1820
-3.8006 -2.1010 2.3938
-0.4763 3.8276 7.7392
Y Ca Zn
2 1 4
Direct
0.7575 0.7575 0.7275
0.2425 0.2425 0.2725
0.0000 0.0000 0.0000
0.8782 0.8782 0.3653
0.1218 0.1218 0.6347
0.6071 0.6071 0.1788
0.3929 0.3929 0.8212
```

Results
**Space group**: No. 166
**Electronic total energy**: -2.92 eV per atom